Compound: FeSiPd
Source: Alexandria
Functional: PBE
Structure: optimized geometry

Geometry as POSCAR:
```
FeSiPd
1.0
6.2135 0.0000 -0.0132
0.0000 2.7634 0.0000
-0.8020 0.0000 9.0560
Pd Si Fe
4 4 4
Direct
0.2763 0.0000 0.5367
0.5437 0.5000 0.7814
0.5437 0.0000 0.2814
0.2763 0.5000 0.0367
0.6823 0.0000 0.5655
0.2145 0.5000 0.3051
0.6823 0.5000 0.0655
0.2145 0.0000 0.8051
0.8926 0.0000 0.9138
0.8926 0.5000 0.4138
0.9486 0.5000 0.6862
0.9486 0.0000 0.1862
```

Theoretical density (g cm⁻³): 8.1
Uncorrected energy (eV per cell): -80.17
Formation energy without anion corrections (eV per formula unit): -1.0